Computed, not measured: U4Al18Ni5 after structural relaxation at the GGA-PBE level of DFT.

Results
crystal system = monoclinic
ρ = 6.4 g cm⁻³
E_tot = -5.552 eV/atom

Cell and atoms, written as POSCAR:
```
U4Al18Ni5
1.0
7.790 -2.014 0.000
7.790 2.014 0.000
-7.322 0.000 14.245
U Al Ni
4 18 5
Direct
0.000 0.000 0.000
0.211 0.211 0.447
0.330 0.330 0.226
0.537 0.537 0.675
0.064 0.064 0.549
0.139 0.139 0.226
0.195 0.195 0.735
0.199 0.199 0.014
0.334 0.334 0.668
0.379 0.379 0.856
0.404 0.404 0.453
0.481 0.481 0.131
0.568 0.568 0.315
0.570 0.570 0.896
0.665 0.665 0.115
0.705 0.705 0.596
0.744 0.744 0.882
0.771 0.771 0.338
0.840 0.840 0.079
0.874 0.874 0.561
0.955 0.955 0.771
0.972 0.972 0.364
0.126 0.126 0.847
0.334 0.334 0.986
0.556 0.556 0.459
0.797 0.797 0.763
0.987 0.987 0.222
```

---

Computed, not measured: Lu4SbAsN2 after structural relaxation at the GGA-PBE level of DFT.

Results
crystal system = hexagonal
ρ = 10.5 g cm⁻³
E_tot = -6.748 eV/atom

Cell and atoms, written as POSCAR:
```
Lu4SbAsN2
1.0
3.541 0.000 0.000
-1.770 3.067 0.000
0.000 0.000 13.506
Lu Sb As N
4 1 1 2
Direct
0.000 0.000 0.141
0.000 0.000 0.859
0.333 0.667 0.330
0.333 0.667 0.670
0.000 0.000 0.500
0.333 0.667 0.000
0.667 0.333 0.240
0.667 0.333 0.760
```

---

Computed, not measured: Pr2CdO4 after structural relaxation at the GGA-PBE level of DFT.

Results
crystal system = cubic
ρ = 6.2 g cm⁻³
E_tot = -6.843 eV/atom

Cell and atoms, written as POSCAR:
```
Pr2CdO4
1.0
0.000 4.972 4.972
4.972 0.000 4.972
4.972 4.972 0.000
Pr Cd O
4 2 8
Direct
0.000 0.000 0.000
0.000 0.000 0.500
0.000 0.500 0.000
0.500 0.000 0.000
0.375 0.375 0.375
0.625 0.625 0.625
0.223 0.759 0.759
0.241 0.241 0.241
0.241 0.241 0.777
0.241 0.777 0.241
0.759 0.223 0.759
0.759 0.759 0.223
0.759 0.759 0.759
0.777 0.241 0.241
```

---

Computed, not measured: AcZn2Cd4 after structural relaxation at the GGA-PBE level of DFT.

Results
crystal system = orthorhombic
ρ = 8.3 g cm⁻³
ΔH_f (0 K) = -252 meV/atom

Cell and atoms, written as POSCAR:
```
AcZn2Cd4
1.0
4.585 0.000 0.000
0.000 15.333 0.000
0.000 0.000 4.584
Ac Zn Cd
2 4 8
Direct
0.000 0.000 0.000
0.500 0.500 0.000
0.000 0.419 0.500
0.000 0.581 0.500
0.500 0.081 0.500
0.500 0.919 0.500
0.000 0.181 0.500
0.000 0.317 0.000
0.000 0.683 0.000
0.000 0.819 0.500
0.500 0.183 0.000
0.500 0.319 0.500
0.500 0.681 0.500
0.500 0.817 0.000
```

---

Computed, not measured: Nd3Cu2Si4Pd2 after structural relaxation at the GGA-PBE level of DFT.

Results
crystal system = orthorhombic
ρ = 6.9 g cm⁻³
E_tot = -5.660 eV/atom

Cell and atoms, written as POSCAR:
```
Nd3Cu2Si4Pd2
1.0
-2.064 2.100 12.202
2.064 -2.100 12.202
2.064 2.100 -12.202
Nd Cu Si Pd
3 2 4 2
Direct
0.000 0.000 0.000
0.348 0.848 0.500
0.652 0.152 0.500
0.249 0.249 0.000
0.751 0.751 0.000
0.198 0.698 0.500
0.451 0.451 0.000
0.549 0.549 0.000
0.802 0.302 0.500
0.098 0.598 0.500
0.902 0.402 0.500
```

---

Computed, not measured: Tb2ThIr9 after structural relaxation at the GGA-PBE level of DFT.

Results
crystal system = trigonal
ρ = 17.4 g cm⁻³
ΔH_f (0 K) = -641 meV/atom

Cell and atoms, written as POSCAR:
```
Tb2ThIr9
1.0
2.670 1.541 8.812
-2.670 1.541 8.812
0.000 -3.083 8.812
Tb Th Ir
2 1 9
Direct
0.140 0.140 0.140
0.860 0.860 0.860
0.000 0.000 0.000
0.083 0.582 0.582
0.333 0.333 0.333
0.418 0.418 0.917
0.418 0.917 0.418
0.500 0.500 0.500
0.582 0.083 0.582
0.582 0.582 0.083
0.667 0.667 0.667
0.917 0.418 0.418
```

---

Computed, not measured: PmMoPb after structural relaxation at the GGA-PBE level of DFT.

Results
E above lowest polymorph = 1.27 eV/f.u.
crystal system = cubic
ρ = 8.0 g cm⁻³

Cell and atoms, written as POSCAR:
```
PmMoPb
1.0
7.206 0.000 0.000
0.000 7.206 0.000
0.000 0.000 7.206
Pm Mo Pb
4 4 4
Direct
0.000 0.000 0.000
0.000 0.500 0.500
0.500 0.000 0.500
0.500 0.500 0.000
0.250 0.250 0.750
0.250 0.750 0.250
0.750 0.250 0.250
0.750 0.750 0.750
0.250 0.250 0.250
0.250 0.750 0.750
0.750 0.250 0.750
0.750 0.750 0.250
```

---

Computed, not measured: TbBeAsO after structural relaxation at the GGA-PBE level of DFT.

Results
E above lowest polymorph = 0.00 eV/f.u.
crystal system = tetragonal
ρ = 6.8 g cm⁻³

Cell and atoms, written as POSCAR:
```
TbBeAsO
1.0
3.824 0.000 0.000
0.000 3.824 0.000
0.000 0.000 8.598
Tb Be As O
2 2 2 2
Direct
0.250 0.250 0.135
0.750 0.750 0.865
0.250 0.750 0.500
0.750 0.250 0.500
0.250 0.250 0.657
0.750 0.750 0.343
0.250 0.750 0.000
0.750 0.250 0.000
```